(1)
## Tc2SbRh (GGA-PBE)

Data for a geometry-optimized Tc2SbRh structure.

Results
E = -31.1 eV/cell
formation energy without anion corrections = 0.267 eV per atom
crystal system = orthorhombic
symmetry = Pmmm (47)
N(E_F) = 3.84 states/eV/cell
total magnetization = 0.000 μB/atom

Cell and atoms, written as CIF:
```
data_Tc2SbRh
_space_group_name_H-M_alt 'P 1'
_space_group_IT_number 1
_cell_length_a 3.034
_cell_length_b 4.057
_cell_length_c 5.241
_cell_angle_alpha 90.00
_cell_angle_beta 90.00
_cell_angle_gamma 90.00
loop_
_space_group_symop_operation_xyz
'x,y,z'
loop_
_atom_site_label
_atom_site_fract_x
_atom_site_fract_y
_atom_site_fract_z
Tc1 0.000 0.000 0.245
Tc2 0.000 0.000 0.755
Sb1 0.500 0.500 0.500
Rh1 0.500 0.500 0.000
```

(2)
## Tc2SbRh (GGA-PBE)

Data for a geometry-optimized Tc2SbRh structure.

Results
E = -31.4 eV/cell
formation energy without anion corrections = 0.196 eV per atom
crystal system = tetragonal
symmetry = P4/mmm (123)
N(E_F) = 5.07 states/eV/cell
total magnetization = 0.542 μB/atom

Cell and atoms, written as CIF:
```
data_Tc2SbRh
_space_group_name_H-M_alt 'P 1'
_space_group_IT_number 1
_cell_length_a 3.870
_cell_length_b 3.870
_cell_length_c 4.285
_cell_angle_alpha 90.00
_cell_angle_beta 90.00
_cell_angle_gamma 90.00
loop_
_space_group_symop_operation_xyz
'x,y,z'
loop_
_atom_site_label
_atom_site_fract_x
_atom_site_fract_y
_atom_site_fract_z
Tc1 0.000 0.500 0.000
Tc2 0.500 0.000 0.000
Sb1 0.000 0.000 0.500
Rh1 0.500 0.500 0.500
```

(3)
## TcSbRh2 (GGA-PBE)

Data for a geometry-optimized TcSbRh2 structure.

Results
E = -58.5 eV/cell
formation energy without anion corrections = -0.013 eV per atom
crystal system = monoclinic
symmetry = C2/m (12)
N(E_F) = 7.47 states/eV/cell
total magnetization = 0.000 μB/atom

Cell and atoms, written as CIF:
```
data_TcSbRh2
_space_group_name_H-M_alt 'P 1'
_space_group_IT_number 1
_cell_length_a 9.126
_cell_length_b 3.012
_cell_length_c 4.683
_cell_angle_alpha 90.00
_cell_angle_beta 100.23
_cell_angle_gamma 90.00
loop_
_space_group_symop_operation_xyz
'x,y,z'
loop_
_atom_site_label
_atom_site_fract_x
_atom_site_fract_y
_atom_site_fract_z
Tc1 0.000 0.000 0.000
Tc2 0.500 0.500 0.000
Sb1 0.000 0.500 0.500
Sb2 0.500 0.000 0.500
Rh1 0.246 0.500 0.235
Rh2 0.254 0.000 0.765
Rh3 0.746 0.000 0.235
Rh4 0.754 0.500 0.765
```

(4)
## TcSbRh2 (GGA-PBE)

Data for a geometry-optimized TcSbRh2 structure.

Results
E = -58.6 eV/cell
formation energy without anion corrections = -0.021 eV per atom
crystal system = monoclinic
symmetry = Cm (8)
N(E_F) = 5.96 states/eV/cell
total magnetization = 0.000 μB/atom

Cell and atoms, written as CIF:
```
data_TcSbRh2
_space_group_name_H-M_alt 'P 1'
_space_group_IT_number 1
_cell_length_a 9.055
_cell_length_b 2.922
_cell_length_c 4.948
_cell_angle_alpha 90.00
_cell_angle_beta 103.52
_cell_angle_gamma 90.00
loop_
_space_group_symop_operation_xyz
'x,y,z'
loop_
_atom_site_label
_atom_site_fract_x
_atom_site_fract_y
_atom_site_fract_z
Tc1 0.000 0.000 0.000
Tc2 0.500 0.500 0.000
Sb1 0.258 0.000 0.689
Sb2 0.758 0.500 0.689
Rh1 0.012 0.500 0.463
Rh2 0.250 0.500 0.192
Rh3 0.512 0.000 0.463
Rh4 0.750 0.000 0.192
```